## a
# PrInAgSn (GGA-PBE, optimized geometry)
data_PrInAgSn
_chemical_formula_sum 'Pr1 In1 Ag1 Sn1'
_cell_length_a 5.2737
_cell_length_b 5.2737
_cell_length_c 5.2737
_cell_angle_alpha 60.00
_cell_angle_beta 60.00
_cell_angle_gamma 60.00
_symmetry_space_group_name_H-M 'P 1'
_symmetry_Int_Tables_number 1
loop_
_symmetry_equiv_pos_as_xyz
'x,y,z'
loop_
_atom_site_label
_atom_site_fract_x
_atom_site_fract_y
_atom_site_fract_z
_atom_site_occupancy
Sn1 0.2500 0.2500 0.2500 1
Pr1 0.0000 0.0000 0.0000 1
Ag1 0.7500 0.7500 0.7500 1
In1 0.5000 0.5000 0.5000 1
# **ρ**: 7.7 g/cm³
# **Space-group type**: F-43m



## b
# PrInAgSn (GGA-PBE, optimized geometry)
data_PrInAgSn
_chemical_formula_sum 'Pr1 In1 Ag1 Sn1'
_cell_length_a 4.5877
_cell_length_b 4.5590
_cell_length_c 4.8301
_cell_angle_alpha 90.00
_cell_angle_beta 90.00
_cell_angle_gamma 90.00
_symmetry_space_group_name_H-M 'P 1'
_symmetry_Int_Tables_number 1
loop_
_symmetry_equiv_pos_as_xyz
'x,y,z'
loop_
_atom_site_label
_atom_site_fract_x
_atom_site_fract_y
_atom_site_fract_z
_atom_site_occupancy
In1 0.5000 0.0000 0.5000 1
Pr1 0.0000 0.0000 0.0000 1
Ag1 0.0000 0.5000 0.5000 1
Sn1 0.5000 0.5000 0.0000 1
# **ρ**: 7.9 g/cm³
# **Space-group type**: Pmmm



Stability, highest: b